*i*
Below is a relaxed structure of Li2BePd4, with properties calculated at the PBE level.

Cell lengths 5.723, 5.723, 5.776 Å; angles 90.00, 90.00, 90.00 degrees
Space group I4/mmm (No. 139)
Inequivalent atoms, fractional coordinates:
Li: 0.000 0.500 0.000
Be: 0.000 0.000 0.000
Pd: 0.250 0.250 0.250

Output
DOS at the Fermi energy: 0.375 states/eV/atom


*ii*
Below is a relaxed structure of Li2BePd4, with properties calculated at the PBE level.

Cell lengths 15.007, 2.840, 4.898 Å; angles 90.00, 108.92, 90.00 degrees
Space group C2/m (No. 12)
Inequivalent atoms, fractional coordinates:
Li: 0.249 0.000 0.265
Be: 0.000 0.000 0.000
Pd: 0.098 0.000 0.447
Pd: 0.106 0.500 0.935

Output
DOS at the Fermi energy: 0.360 states/eV/atom


*iii*
Below is a relaxed structure of Li2BePd4, with properties calculated at the PBE level.

Cell lengths 4.190, 4.190, 12.570 Å; angles 90.00, 90.00, 90.00 degrees
Space group I4/mmm (No. 139)
Inequivalent atoms, fractional coordinates:
Li: 0.000 0.000 0.130
Be: 0.000 0.000 0.500
Pd: 0.000 0.000 0.329
Pd: 0.000 0.500 0.000

Output
DOS at the Fermi energy: 0.209 states/eV/atom


Last place for stability: *iii*


*i*
Below is a relaxed structure of Li3BePt, with properties calculated at the PBE level.

Cell lengths 4.205, 4.205, 4.205 Å; angles 90.00, 90.00, 90.00 degrees
Space group Pm-3m (No. 221)
Inequivalent atoms, fractional coordinates:
Li: 0.000 0.000 0.500
Be: 0.000 0.000 0.000
Pt: 0.500 0.500 0.500

Output
DOS at the Fermi energy: 0.607 states/eV/atom


*ii*
Below is a relaxed structure of Li3BePt, with properties calculated at the PBE level.

Cell lengths 4.667, 4.667, 4.667 Å; angles 90.00, 90.00, 90.00 degrees
Space group Pm-3m (No. 221)
Inequivalent atoms, fractional coordinates:
Li: 0.000 0.000 0.500
Be: 0.500 0.500 0.500
Pt: 0.000 0.000 0.000

Output
DOS at the Fermi energy: 0.453 states/eV/atom


Last place for stability: *i*


*i*
Below is a relaxed structure of LiBePt, with properties calculated at the PBE level.

Cell lengths 2.801, 4.015, 6.303 Å; angles 90.00, 102.95, 90.00 degrees
Space group Pm (No. 6)
Inequivalent atoms, fractional coordinates:
Li: 0.000 0.000 0.000
Li: 0.337 0.000 0.669
Be: 0.130 0.500 0.256
Be: 0.794 0.500 0.586
Pt: 0.459 0.500 0.917
Pt: 0.670 0.000 0.337

Output
DOS at the Fermi energy: 0.197 states/eV/atom


*ii*
Below is a relaxed structure of LiBePt, with properties calculated at the PBE level.

Cell lengths 2.755, 3.670, 7.290 Å; angles 90.00, 100.05, 90.00 degrees
Space group P2_1/m (No. 11)
Inequivalent atoms, fractional coordinates:
Li: 0.204 0.250 0.415
Be: 0.041 0.250 0.090
Pt: 0.410 0.250 0.807

Output
DOS at the Fermi energy: 0.331 states/eV/atom


Last place for stability: *i*


*i*
Below is a relaxed structure of LiBe2Pt2, with properties calculated at the PBE level.

Cell lengths 6.744, 6.744, 2.728 Å; angles 90.00, 90.00, 90.00 degrees
Space group P4/mbm (No. 127)
Inequivalent atoms, fractional coordinates:
Li: 0.000 0.000 0.000
Be: 0.138 0.362 0.500
Pt: 0.157 0.657 0.000

Output
DOS at the Fermi energy: 0.251 states/eV/atom


*ii*
Below is a relaxed structure of LiBe2Pt2, with properties calculated at the PBE level.

Cell lengths 3.405, 3.405, 11.479 Å; angles 90.00, 90.00, 90.00 degrees
Space group I4/mmm (No. 139)
Inequivalent atoms, fractional coordinates:
Li: 0.000 0.000 0.000
Be: 0.000 0.500 0.250
Pt: 0.000 0.000 0.381

Output
DOS at the Fermi energy: 0.342 states/eV/atom


*iii*
Below is a relaxed structure of LiBe2Pt2, with properties calculated at the PBE level.

Cell lengths 6.606, 6.606, 2.756 Å; angles 90.00, 90.00, 90.00 degrees
Space group P4/mbm (No. 127)
Inequivalent atoms, fractional coordinates:
Li: 0.000 0.000 0.000
Be: 0.127 0.373 0.000
Pt: 0.167 0.667 0.500

Output
DOS at the Fermi energy: 0.211 states/eV/atom


Last place for stability: *ii*